(1)
Computed, not measured: crystalline VGeI2O at its relaxed geometry at the PBE with a Hubbard U level of DFT.

```
VGeI2O
1.0
5.7606 0.0000 0.0000
0.0000 5.7606 0.0000
0.0000 0.0000 3.7231
V Ge I O
1 1 2 1
direct
0.0000 0.0000 0.0000 V
0.5000 0.5000 0.5000 Ge
0.0000 0.5000 0.0000 I
0.5000 0.0000 0.0000 I
0.0000 0.0000 0.5000 O
```

**Fermi-level density of states**: 0.903 states/eV per atom
**Crystal system**: tetragonal
**Calculated total energy**: -4.351 eV/atom

(2)
Computed, not measured: crystalline VGeI2O at its relaxed geometry at the PBE with a Hubbard U level of DFT.

```
VGeI2O
1.0
5.8862 0.0000 0.0000
0.0000 5.8862 0.0000
0.0000 0.0000 3.7911
V Ge I O
1 1 2 1
direct
0.0000 0.0000 0.0000 V
0.5000 0.5000 0.5000 Ge
0.0000 0.5000 0.5000 I
0.5000 0.0000 0.5000 I
0.5000 0.5000 0.0000 O
```

**Fermi-level density of states**: 0.493 states/eV per atom
**Crystal system**: tetragonal
**Calculated total energy**: -3.740 eV/atom

(3)
Computed, not measured: crystalline GeWI2O at its relaxed geometry at the PBE with a Hubbard U level of DFT.

```
GeWI2O
1.0
5.9779 0.0000 0.0000
0.0000 5.9779 0.0000
0.0000 0.0000 3.8821
Ge W I O
1 1 2 1
direct
0.0000 0.0000 0.0000 Ge
0.5000 0.5000 0.5000 W
0.0000 0.5000 0.5000 I
0.5000 0.0000 0.5000 I
0.5000 0.5000 0.0000 O
```

**Fermi-level density of states**: 0.506 states/eV per atom
**Crystal system**: tetragonal
**Calculated total energy**: -4.048 eV/atom

(4)
Computed, not measured: crystalline GeWI2O at its relaxed geometry at the PBE with a Hubbard U level of DFT.

```
GeWI2O
1.0
5.9139 0.0000 0.0000
0.0000 5.9139 0.0000
0.0000 0.0000 3.7548
Ge W I O
1 1 2 1
direct
0.0000 0.0000 0.0000 Ge
0.5000 0.5000 0.5000 W
0.0000 0.5000 0.0000 I
0.5000 0.0000 0.0000 I
0.0000 0.0000 0.5000 O
```

**Fermi-level density of states**: 0.459 states/eV per atom
**Crystal system**: tetragonal
**Calculated total energy**: -3.590 eV/atom

(5)
Computed, not measured: crystalline GeWIO2 at its relaxed geometry at the PBE with a Hubbard U level of DFT.

```
GeWIO2
1.0
3.9727 0.0000 0.0000
0.0000 3.9727 0.0000
0.0000 0.0000 7.7388
Ge W I O
1 1 1 2
direct
0.0000 0.0000 0.0000 Ge
0.5000 0.5000 0.5000 W
0.5000 0.5000 0.0000 I
0.0000 0.5000 0.5000 O
0.5000 0.0000 0.5000 O
```

**Fermi-level density of states**: 0.507 states/eV per atom
**Crystal system**: tetragonal
**Calculated total energy**: -5.216 eV/atom

(6)
Computed, not measured: crystalline GeWIO2 at its relaxed geometry at the PBE with a Hubbard U level of DFT.

```
GeWIO2
1.0
3.9592 0.0000 0.0000
0.0000 3.9592 0.0000
0.0000 0.0000 6.2507
Ge W I O
1 1 1 2
direct
0.0000 0.0000 0.0000 Ge
0.5000 0.5000 0.5000 W
0.0000 0.0000 0.5000 I
0.0000 0.5000 0.0000 O
0.5000 0.0000 0.0000 O
```

**Fermi-level density of states**: 0.362 states/eV per atom
**Crystal system**: tetragonal
**Calculated total energy**: -4.452 eV/atom